DFT (PBE) results for AcNpSe3S after structural relaxation.

Results
Uncorrected formation energy: -1.345 eV/atom
Total magnetic moment: 3.6 μB per formula unit
Theoretical density: 8.10 g/cm3

Structure (CIF):
```
data_AcNpSe3S
_chemical_formula_sum 'Ac2 Np2 Se6 S2'
_cell_length_a 4.2038
_cell_length_b 8.4217
_cell_length_c 9.4930
_cell_angle_alpha 116.53
_cell_angle_beta 90.00
_cell_angle_gamma 90.00
_symmetry_space_group_name_H-M 'P 1'
_symmetry_Int_Tables_number 1
_symmetry_space_group_name_Hall 'P 1'
loop_
_atom_site_label
_atom_site_type_symbol
_atom_site_fract_x
_atom_site_fract_y
_atom_site_fract_z
_atom_site_occupancy
Ac1 Ac 0.2500 0.2349 0.2164 1
Ac2 Ac 0.7500 0.7651 0.7836 1
S1 S 0.7500 0.8653 0.4985 1
S2 S 0.2500 0.1347 0.5015 1
Se1 Se 0.2500 0.0698 0.8500 1
Se2 Se 0.7500 0.9302 0.1500 1
Se3 Se 0.2500 0.5350 0.8670 1
Se4 Se 0.7500 0.4650 0.1330 1
Se5 Se 0.2500 0.6143 0.4990 1
Se6 Se 0.7500 0.3857 0.5010 1
Np1 Np 0.7500 0.2383 0.7307 1
Np2 Np 0.2500 0.7617 0.2693 1
```

=====

DFT (PBE) results for Sr2AcNpS6 after structural relaxation.

Results
Uncorrected formation energy: -1.743 eV/atom
Total magnetic moment: 2.0 μB per formula unit
Theoretical density: 4.90 g/cm3

Structure (CIF):
```
data_Sr2AcNpS6
_chemical_formula_sum 'Sr4 Ac2 Np2 S12'
_cell_length_a 7.1117
_cell_length_b 7.6239
_cell_length_c 10.4067
_cell_angle_alpha 90.00
_cell_angle_beta 90.88
_cell_angle_gamma 90.00
_symmetry_space_group_name_H-M 'P 1'
_symmetry_Int_Tables_number 1
_symmetry_space_group_name_Hall 'P 1'
loop_
_atom_site_label
_atom_site_type_symbol
_atom_site_fract_x
_atom_site_fract_y
_atom_site_fract_z
_atom_site_occupancy
S1 S 0.8687 0.5531 0.2320 1
S2 S 0.3687 0.9469 0.7320 1
S3 S 0.1313 0.4469 0.7680 1
S4 S 0.7074 0.3188 0.9329 1
S5 S 0.2074 0.1812 0.4329 1
S6 S 0.3272 0.7101 0.4249 1
S7 S 0.1728 0.2101 0.0751 1
S8 S 0.2926 0.6812 0.0671 1
S9 S 0.6728 0.2899 0.5751 1
S10 S 0.7926 0.8188 0.5671 1
S11 S 0.8272 0.7899 0.9249 1
S12 S 0.6313 0.0531 0.2680 1
Ac1 Ac 0.5000 0.0000 0.0000 1
Ac2 Ac 0.0000 0.5000 0.5000 1
Sr1 Sr 0.9709 0.0792 0.7504 1
Sr2 Sr 0.5291 0.5792 0.7496 1
Sr3 Sr 0.0291 0.9208 0.2496 1
Sr4 Sr 0.4709 0.4208 0.2504 1
Np1 Np 0.0000 0.5000 0.0000 1
Np2 Np 0.5000 0.0000 0.5000 1
```

=====

DFT (PBE) results for SrAc2NpS6 after structural relaxation.

Results
Uncorrected formation energy: -1.851 eV/atom
Total magnetic moment: 3.0 μB per formula unit
Theoretical density: 5.33 g/cm3

Structure (CIF):
```
data_SrAc2NpS6
_chemical_formula_sum 'Sr1 Ac2 Np1 S6'
_cell_length_a 7.4099
_cell_length_b 7.4099
_cell_length_c 7.6709
_cell_angle_alpha 61.12
_cell_angle_beta 61.12
_cell_angle_gamma 60.00
_symmetry_space_group_name_H-M 'P 1'
_symmetry_Int_Tables_number 1
_symmetry_space_group_name_Hall 'P 1'
loop_
_atom_site_label
_atom_site_type_symbol
_atom_site_fract_x
_atom_site_fract_y
_atom_site_fract_z
_atom_site_occupancy
Np1 Np 0.3189 0.3189 0.0434 1
Sr1 Sr 0.8094 0.8094 0.5717 1
S1 S 0.4201 0.6843 0.7659 1
S2 S 0.1995 0.9571 0.2521 1
S3 S 0.1297 0.4201 0.7660 1
S4 S 0.5913 0.1995 0.2521 1
S5 S 0.9571 0.5913 0.2521 1
S6 S 0.6843 0.1297 0.7660 1
Ac1 Ac 0.5292 0.5291 0.4126 1
Ac2 Ac 0.0222 0.0222 0.9334 1
```

=====

DFT (PBE) results for AcNpSb2 after structural relaxation.

Results
Uncorrected formation energy: -0.508 eV/atom
Total magnetic moment: 4.0 μB per formula unit
Theoretical density: 9.80 g/cm3

Structure (CIF):
```
data_AcNpSb2
_chemical_formula_sum 'Ac1 Np1 Sb2'
_cell_length_a 3.9025
_cell_length_b 3.9025
_cell_length_c 7.8716
_cell_angle_alpha 90.00
_cell_angle_beta 90.00
_cell_angle_gamma 90.00
_symmetry_space_group_name_H-M 'P 1'
_symmetry_Int_Tables_number 1
_symmetry_space_group_name_Hall 'P 1'
loop_
_atom_site_label
_atom_site_type_symbol
_atom_site_fract_x
_atom_site_fract_y
_atom_site_fract_z
_atom_site_occupancy
Sb1 Sb 0.0000 0.0000 0.2266 1
Sb2 Sb 0.0000 0.0000 0.7734 1
Np1 Np 0.5000 0.5000 0.0000 1
Ac1 Ac 0.5000 0.5000 0.5000 1
```